DFT (PBE) results for an optimized crystal structure of Cs3BrCl6.

Properties
SG = P2_1/c
DOS at the Fermi energy = 0.00 states/eV/atom
ΔE_f (raw) = -1.18 eV/atom
Energy above the most stable polymorph in this dataset = 0.00 eV per formula unit
Electronic total energy = -54.3 eV/cell

a = 6.187 Å, b = 7.132 Å, c = 18.592 Å
α = 90.00°, β = 103.10°, γ = 90.00°
Fractional coordinates of all 20 atoms:
Cs1 0.000 0.000 0.000
Cs2 0.000 0.500 0.500
Cs3 0.241 0.102 0.729
Cs4 0.241 0.398 0.229
Cs5 0.759 0.602 0.771
Cs6 0.759 0.898 0.271
Br1 0.500 0.000 0.500
Br2 0.500 0.500 0.000
Cl1 0.193 0.141 0.408
Cl2 0.193 0.359 0.908
Cl3 0.202 0.602 0.688
Cl4 0.202 0.898 0.188
Cl5 0.477 0.725 0.423
Cl6 0.477 0.775 0.923
Cl7 0.523 0.225 0.077
Cl8 0.523 0.275 0.577
Cl9 0.798 0.102 0.812
Cl10 0.798 0.398 0.312
Cl11 0.807 0.641 0.092
Cl12 0.807 0.859 0.592